Record 1
PBE Tb3TlCo, optimized geometry; excess energy over the best structure of this formula in the dataset = 0.060 eV/atom; energy = -24.09 eV for the cell shown; total magnetization = 0.00 μB/cell; energy of formation from the pure elements = -146 meV per atom
1.0
5.1662 0.0000 0.0000
0.0000 5.1662 0.0000
0.0000 0.0000 5.1662
Tb Tl Co
3 1 1
direct
0.0000 0.0000 0.5000
0.0000 0.5000 0.0000
0.5000 0.0000 0.0000
0.5000 0.5000 0.5000
0.0000 0.0000 0.0000

***

Record 2
PBE Tb6Tl2Co, optimized geometry; energy = -40.04 eV for the cell shown; total magnetization = 0.00 μB/cell; energy of formation from the pure elements = -47 meV per atom
1.0
-2.5816 3.6117 7.3043
2.5816 -3.6117 7.3043
2.5816 3.6117 -7.3043
Tb Tl Co
6 2 1
direct
0.0885 0.3497 0.7388
0.2194 0.0000 0.2194
0.3891 0.6503 0.7388
0.6109 0.3497 0.2612
0.7806 0.0000 0.7806
0.9115 0.6503 0.2612
0.3326 0.8326 0.5000
0.6674 0.1674 0.5000
0.0000 0.5000 0.5000

***

Record 3
PBE Tb11Tl9Co4, optimized geometry; energy = -108.35 eV for the cell shown; total magnetization = 0.00 μB/cell; energy of formation from the pure elements = -321 meV per atom
1.0
7.2852 -10.9021 0.0000
7.2852 10.9021 0.0000
0.0000 0.0000 3.6832
Tb Tl Co
11 9 4
direct
0.0000 0.0000 0.0000
0.0871 0.4190 0.0000
0.1626 0.8374 0.0000
0.3139 0.3139 0.0000
0.3751 0.6249 0.0000
0.4190 0.0871 0.0000
0.5810 0.9129 0.0000
0.6249 0.3751 0.0000
0.6861 0.6861 0.0000
0.8374 0.1626 0.0000
0.9129 0.5810 0.0000
0.0755 0.2199 0.5000
0.1552 0.6302 0.5000
0.2199 0.0755 0.5000
0.3698 0.8448 0.5000
0.5000 0.5000 0.5000
0.6302 0.1552 0.5000
0.7801 0.9245 0.5000
0.8448 0.3698 0.5000
0.9245 0.7801 0.5000
0.2491 0.4501 0.5000
0.4501 0.2491 0.5000
0.5499 0.7509 0.5000
0.7509 0.5499 0.5000

***

Record 4
PBE Tb7TlCo2, optimized geometry; energy = -49.26 eV for the cell shown; total magnetization = 0.00 μB/cell; energy of formation from the pure elements = -28 meV per atom
1.0
4.4647 -6.6980 0.0000
4.4647 6.6980 0.0000
0.0000 0.0000 4.9582
Tb Tl Co
7 1 2
direct
0.0000 0.0000 0.0000
0.1847 0.4486 0.0000
0.2054 0.7946 0.5000
0.4486 0.1847 0.0000
0.5514 0.8153 0.0000
0.7946 0.2054 0.5000
0.8153 0.5514 0.0000
0.5000 0.5000 0.5000
0.2026 0.7974 0.0000
0.7974 0.2026 0.0000